Be3Zn after structural relaxation, computed with PBE.

a = 7.7773 Å, b = 2.4344 Å, c = 4.2082 Å
α = 90.00°, β = 100.35°, γ = 90.00°
With the nearest neighbours (Å) after each atom.
Space group C2/m (No. 12)
Symmetry-distinct sites (fractional):
Be 0.0000 0.0000 0.0000 x2  8 Be 2.29-2.43, 4 Zn 2.43
Be 0.2414 0.5000 0.2227 x4  7 Be 2.26-2.43, 3 Zn 2.38-2.46
Zn 0.0000 0.5000 0.5000 x2  10 Be 2.38-2.46, 2 Zn 2.43

Output
- total energy (eV per atom) = -2.9159
- DOS at the Fermi energy (states/eV/cell) = 1.48
- crystal system = monoclinic
- energy of formation from the pure elements (eV/atom) = 0.197
- spin magnetization (μB per formula unit) = 0.000